Here is a geometry-optimized ZnI3N structure from the Alexandria database. Energies are from PBE-GGA.

Unit cell a=5.6385 b=5.6385 c=5.6385 alpha=90.00 beta=90.00 gamma=90.00
With the nearest neighbours (Å) after each atom.
Fractional positions:
Zn (0.0000, 0.0000, 0.0000)  6 I 2.82
I (0.0000, 0.0000, 0.5000)  2 Zn 2.82
I (0.0000, 0.5000, 0.0000)  2 Zn 2.82
I (0.5000, 0.0000, 0.0000)  2 Zn 2.82
N (0.5000, 0.5000, 0.5000)  12 I 3.99

The calculation puts the calculated volume at 35.9 Å³/atom. The calculation puts the polymorph energy (0 for the lowest one) at 31.3 meV/atom. The uncorrected formation energy comes out at 93.8 kJ/mol of atoms. As for the crystal system: cubic. The calculation puts the total magnetic moment at 2.990 μB/cell. The value obtained for the total energy is -0.1380 Ry/atom.

***

Here is a geometry-optimized ZnI4N2 structure from the Alexandria database. Energies are from PBE-GGA.

Unit cell a=3.8731 b=7.6323 c=8.6936 alpha=95.65 beta=96.80 gamma=103.53
With the nearest neighbours (Å) after each atom.
Fractional positions:
Zn (0.0000, 0.0000, 0.0000)  2 I 2.54
I (0.1355, 0.3012, 0.4193)  2 N 2.10
I (0.3668, 0.8049, 0.1296)  1 Zn 2.54
I (0.6332, 0.1951, 0.8704)  1 Zn 2.54
I (0.8645, 0.6988, 0.5807)  2 N 2.10
N (0.3324, 0.6073, 0.6227)  2 I 2.10
N (0.6676, 0.3927, 0.3773)  2 I 2.10

The calculation puts the calculated volume at 35.1 Å³/atom. The uncorrected formation energy comes out at 82.6 kJ/mol of atoms. As for the crystal system: triclinic. The calculation puts the total magnetic moment at 0.000 μB/cell. The value obtained for the total energy is -0.1904 Ry/atom.

***

Here is a geometry-optimized ZnIN2 structure from the Alexandria database. Energies are from PBE-GGA.

Unit cell a=3.7287 b=3.7287 c=17.2656 alpha=90.00 beta=90.00 gamma=120.00
With the nearest neighbours (Å) after each atom.
Fractional positions:
Zn (0.0000, 0.0000, 0.0000)  2 N 1.86
Zn (0.3333, 0.6667, 0.6667)  2 N 1.86
Zn (0.6667, 0.3333, 0.3333)  2 N 1.86
I (0.0000, 0.0000, 0.5000)  6 N 2.38
I (0.3333, 0.6667, 0.1667)  6 N 2.38
I (0.6667, 0.3333, 0.8333)  6 N 2.38
N (0.0000, 0.0000, 0.1076)  1 Zn 1.86
N (0.0000, 0.0000, 0.8924)  1 Zn 1.86
N (0.3333, 0.6667, 0.5591)  1 Zn 1.86
N (0.3333, 0.6667, 0.7743)  1 Zn 1.86
N (0.6667, 0.3333, 0.2257)  1 Zn 1.86
N (0.6667, 0.3333, 0.4409)  1 Zn 1.86

The calculation puts the calculated volume at 17.3 Å³/atom. The calculation puts the polymorph energy (0 for the lowest one) at 145.8 meV/atom. The uncorrected formation energy comes out at 129.5 kJ/mol of atoms. As for the crystal system: trigonal. The calculation puts the total magnetic moment at 0.000 μB/cell. The value obtained for the total energy is -0.2592 Ry/atom.